No. 1
The following is a PBE calculation of an optimized crystal structure of TlTe2Se, from the Alexandria database. Values from VASP.

V, Å³/cell: 253.4
Final energy, eV per atom: -3.1426
D(E_F), states/eV per atom: 0.575
ΔE_f (raw), eV per atom: -0.1090

```
&SYSTEM
  ibrav = 0, nat = 8, ntyp = 3
/
ATOMIC_SPECIES
Tl 204.38 Tl.upf
Te 127.60 Te.upf
Se 78.96 Se.upf
CELL_PARAMETERS angstrom
13.095 0.000 0.000
0.000 4.533 0.000
-1.539 0.000 4.269
ATOMIC_POSITIONS angstrom
Tl 0.000 0.000 0.000
Tl 6.548 2.266 0.000
Te 1.923 2.266 3.130
Te 3.086 0.000 1.139
Te 8.471 0.000 3.130
Te 9.634 2.266 1.139
Se -0.769 2.266 2.134
Se 5.778 0.000 2.134
```

***

No. 2
The following is a PBE calculation of an optimized crystal structure of Tl3TeSe4, from the Alexandria database. Values from VASP.

V, Å³/cell: 249.0
Final energy, eV per atom: -3.2121
D(E_F), states/eV per atom: 0.602
E above lowest polymorph, eV/atom: 0.000
ΔE_f (raw), eV per atom: -0.1898

```
&SYSTEM
  ibrav = 0, nat = 8, ntyp = 3
/
ATOMIC_SPECIES
Tl 204.38 Tl.upf
Te 127.60 Te.upf
Se 78.96 Se.upf
CELL_PARAMETERS angstrom
4.843 2.796 3.065
-4.843 2.796 3.065
0.000 -5.592 3.065
ATOMIC_POSITIONS angstrom
Tl -2.228 -1.287 3.065
Tl 2.228 -1.287 3.065
Tl 0.000 2.573 3.065
Te 0.000 0.000 9.056
Se -2.818 -1.627 7.025
Se 0.000 0.000 4.785
Se 2.818 -1.627 7.025
Se 0.000 3.254 7.025
```

***

No. 3
The following is a PBE calculation of an optimized crystal structure of TlTe2Se, from the Alexandria database. Values from VASP.

V, Å³/cell: 411.6
Final energy, eV per atom: -2.8450
D(E_F), states/eV per atom: 0.493
ΔE_f (raw), eV per atom: 0.1885

```
&SYSTEM
  ibrav = 0, nat = 12, ntyp = 3
/
ATOMIC_SPECIES
Tl 204.38 Tl.upf
Te 127.60 Te.upf
Se 78.96 Se.upf
CELL_PARAMETERS angstrom
3.938 0.000 0.000
-1.969 3.410 0.000
0.000 0.000 30.646
ATOMIC_POSITIONS angstrom
Tl 0.000 0.000 0.000
Tl 0.000 2.274 20.431
Tl 1.969 1.137 10.215
Te 0.000 0.000 3.311
Te 0.000 0.000 27.336
Te 0.000 2.274 17.120
Te 0.000 2.274 23.741
Te 1.969 1.137 6.905
Te 1.969 1.137 13.526
Se 0.000 0.000 15.323
Se 0.000 2.274 5.108
Se 1.969 1.137 25.538
```

***

No. 4
The following is a PBE calculation of an optimized crystal structure of Tl5Te2Se6, from the Alexandria database. Values from VASP.

V, Å³/cell: 845.2
Final energy, eV per atom: -3.1687
D(E_F), states/eV per atom: 0.222
ΔE_f (raw), eV per atom: -0.1670

```
&SYSTEM
  ibrav = 0, nat = 26, ntyp = 3
/
ATOMIC_SPECIES
Tl 204.38 Tl.upf
Te 127.60 Te.upf
Se 78.96 Se.upf
CELL_PARAMETERS angstrom
13.391 0.000 0.000
0.000 15.221 0.000
0.000 0.000 4.147
ATOMIC_POSITIONS angstrom
Tl 0.000 0.000 0.000
Tl 1.049 3.903 0.000
Tl 2.593 7.359 0.000
Tl 4.103 14.970 0.000
Tl 5.646 11.513 0.000
Tl 6.696 7.610 0.000
Tl 7.745 3.708 0.000
Tl 9.288 0.251 0.000
Tl 10.798 7.861 0.000
Tl 12.342 11.318 0.000
Te 2.549 10.829 2.073
Te 4.146 3.219 2.073
Te 9.245 12.002 2.073
Te 10.842 4.392 2.073
Se 0.527 9.326 2.073
Se 1.541 12.875 0.000
Se 2.266 1.294 2.073
Se 4.430 8.904 2.073
Se 5.154 5.265 0.000
Se 6.169 1.716 2.073
Se 7.222 13.505 2.073
Se 8.237 9.956 0.000
Se 8.961 6.316 2.073
Se 11.125 13.927 2.073
Se 11.850 2.346 0.000
Se 12.864 5.894 2.073
```

***

No. 5
The following is a PBE calculation of an optimized crystal structure of Tl2TeSe2, from the Alexandria database. Values from VASP.

V, Å³/cell: 310.3
Final energy, eV per atom: -3.0873
D(E_F), states/eV per atom: 0.642
ΔE_f (raw), eV per atom: -0.1186

```
&SYSTEM
  ibrav = 0, nat = 10, ntyp = 3
/
ATOMIC_SPECIES
Tl 204.38 Tl.upf
Te 127.60 Te.upf
Se 78.96 Se.upf
CELL_PARAMETERS angstrom
3.868 0.000 0.000
0.000 3.868 0.000
0.000 0.000 20.735
ATOMIC_POSITIONS angstrom
Tl 0.000 0.000 2.179
Tl 0.000 0.000 18.556
Tl 1.934 1.934 8.188
Tl 1.934 1.934 12.547
Te 0.000 0.000 10.368
Te 1.934 1.934 0.000
Se 0.000 1.934 5.184
Se 0.000 1.934 15.552
Se 1.934 0.000 5.184
Se 1.934 0.000 15.552
```

***

No. 6
The following is a PBE calculation of an optimized crystal structure of TlTe2Se, from the Alexandria database. Values from VASP.

V, Å³/cell: 119.4
Final energy, eV per atom: -2.9542
D(E_F), states/eV per atom: 0.619
ΔE_f (raw), eV per atom: 0.0793

```
&SYSTEM
  ibrav = 0, nat = 4, ntyp = 3
/
ATOMIC_SPECIES
Tl 204.38 Tl.upf
Te 127.60 Te.upf
Se 78.96 Se.upf
CELL_PARAMETERS angstrom
3.086 0.000 0.000
0.000 6.284 0.000
-0.010 0.000 6.156
ATOMIC_POSITIONS angstrom
Tl 0.000 0.000 0.000
Te 1.540 3.142 1.509
Te 1.536 3.142 4.647
Se 1.538 0.000 3.078
```

***

No. 7
The following is a PBE calculation of an optimized crystal structure of Tl5Te2Se, from the Alexandria database. Values from VASP.

V, Å³/cell: 297.8
Final energy, eV per atom: -2.8472
D(E_F), states/eV per atom: 0.393
E above lowest polymorph, eV/atom: 0.051
ΔE_f (raw), eV per atom: -0.1473

```
&SYSTEM
  ibrav = 0, nat = 8, ntyp = 3
/
ATOMIC_SPECIES
Tl 204.38 Tl.upf
Te 127.60 Te.upf
Se 78.96 Se.upf
CELL_PARAMETERS angstrom
7.473 0.000 0.000
0.000 7.473 0.000
0.000 0.000 5.334
ATOMIC_POSITIONS angstrom
Tl 0.000 0.000 0.000
Tl 2.102 2.102 2.667
Tl 2.102 5.370 2.667
Tl 5.370 2.102 2.667
Tl 5.370 5.370 2.667
Te 0.000 3.736 0.000
Te 3.736 0.000 0.000
Se 0.000 0.000 2.667
```

***

No. 8
The following is a PBE calculation of an optimized crystal structure of Tl19Te4Se6, from the Alexandria database. Values from VASP.

V, Å³/cell: 963.4
Final energy, eV per atom: -3.0132
D(E_F), states/eV per atom: 0.245
ΔE_f (raw), eV per atom: -0.3087

```
&SYSTEM
  ibrav = 0, nat = 29, ntyp = 3
/
ATOMIC_SPECIES
Tl 204.38 Tl.upf
Te 127.60 Te.upf
Se 78.96 Se.upf
CELL_PARAMETERS angstrom
-6.222 6.222 6.222
6.222 -6.222 6.222
6.222 6.222 -6.222
ATOMIC_POSITIONS angstrom
Tl 0.000 0.000 0.000
Tl -0.912 9.057 3.386
Tl 4.471 0.000 0.000
Tl 7.973 0.000 0.000
Tl 5.310 -2.835 2.836
Tl 2.836 5.310 -2.835
Tl 9.057 3.386 -0.912
Tl 3.386 3.386 0.912
Tl 3.386 0.912 3.386
Tl 0.000 4.471 0.000
Tl 0.000 0.000 4.471
Tl 7.134 2.835 2.836
Tl 0.912 3.386 3.386
Tl 0.000 7.973 0.000
Tl 0.000 0.000 7.973
Tl 3.386 -0.912 9.057
Tl -2.835 2.836 5.310
Tl 2.836 7.134 2.835
Tl 2.835 2.836 7.134
Te 1.858 1.858 -1.858
Te 1.858 -1.858 1.858
Te -1.858 1.858 1.858
Te 4.363 4.363 4.363
Se 6.222 3.096 0.000
Se 6.222 0.000 3.126
Se 3.126 6.222 0.000
Se 3.096 0.000 6.222
Se 0.000 6.222 3.096
Se 0.000 3.126 6.222
```

***

No. 9
The following is a PBE calculation of an optimized crystal structure of TlTeSe2, from the Alexandria database. Values from VASP.

V, Å³/cell: 263.8
Final energy, eV per atom: -3.1043
D(E_F), states/eV per atom: 0.452
E above lowest polymorph, eV/atom: 0.162
ΔE_f (raw), eV per atom: 0.0150

```
&SYSTEM
  ibrav = 0, nat = 8, ntyp = 3
/
ATOMIC_SPECIES
Tl 204.38 Tl.upf
Te 127.60 Te.upf
Se 78.96 Se.upf
CELL_PARAMETERS angstrom
4.033 0.000 0.000
0.000 4.033 0.000
0.000 0.000 16.224
ATOMIC_POSITIONS angstrom
Tl 0.000 0.000 0.000
Tl 2.016 2.016 8.112
Te 0.000 2.016 4.056
Te 2.016 0.000 12.168
Se 0.000 0.000 8.112
Se 0.000 2.016 12.168
Se 2.016 0.000 4.056
Se 2.016 2.016 0.000
```

***

No. 10
The following is a PBE calculation of an optimized crystal structure of Tl2TeSe2, from the Alexandria database. Values from VASP.

V, Å³/cell: 270.5
Final energy, eV per atom: -2.8490
D(E_F), states/eV per atom: 0.730
ΔE_f (raw), eV per atom: 0.1197

```
&SYSTEM
  ibrav = 0, nat = 10, ntyp = 3
/
ATOMIC_SPECIES
Tl 204.38 Tl.upf
Te 127.60 Te.upf
Se 78.96 Se.upf
CELL_PARAMETERS angstrom
8.484 0.000 0.000
0.000 8.484 0.000
0.000 0.000 3.759
ATOMIC_POSITIONS angstrom
Tl 1.338 2.904 0.000
Tl 2.904 7.146 0.000
Tl 5.580 1.338 0.000
Tl 7.146 5.580 0.000
Te 0.000 0.000 0.000
Te 4.242 4.242 0.000
Se 1.206 5.448 1.879
Se 3.036 1.206 1.879
Se 5.448 7.278 1.879
Se 7.278 3.036 1.879
```

***

No. 11
The following is a PBE calculation of an optimized crystal structure of TlTeSe3, from the Alexandria database. Values from VASP.

V, Å³/cell: 327.8
Final energy, eV per atom: -3.2244
D(E_F), states/eV per atom: 0.295
E above lowest polymorph, eV/atom: 0.000
ΔE_f (raw), eV per atom: -0.0321

```
&SYSTEM
  ibrav = 0, nat = 10, ntyp = 3
/
ATOMIC_SPECIES
Tl 204.38 Tl.upf
Te 127.60 Te.upf
Se 78.96 Se.upf
CELL_PARAMETERS angstrom
5.285 0.000 0.000
0.000 5.865 0.000
-2.649 0.000 10.576
ATOMIC_POSITIONS angstrom
Tl 0.001 1.466 3.324
Tl 2.636 4.399 7.252
Te -0.007 1.466 9.146
Te 2.644 4.399 1.430
Se -1.334 1.466 6.463
Se -0.008 4.399 9.355
Se 1.314 4.399 4.114
Se 1.322 1.466 6.463
Se 2.645 1.466 1.221
Se 3.970 4.399 4.113
```

***

No. 12
The following is a PBE calculation of an optimized crystal structure of Tl8Te3Se2, from the Alexandria database. Values from VASP.

V, Å³/cell: 486.4
Final energy, eV per atom: -2.9683
D(E_F), states/eV per atom: 0.284
ΔE_f (raw), eV per atom: -0.2510

```
&SYSTEM
  ibrav = 0, nat = 13, ntyp = 3
/
ATOMIC_SPECIES
Tl 204.38 Tl.upf
Te 127.60 Te.upf
Se 78.96 Se.upf
CELL_PARAMETERS angstrom
9.749 0.000 0.000
0.000 4.598 0.000
-2.071 0.000 10.850
ATOMIC_POSITIONS angstrom
Tl -0.166 0.000 3.935
Tl -0.351 2.299 9.896
Tl 1.583 2.299 6.062
Tl 3.689 0.000 2.161
Tl 3.989 0.000 8.689
Tl 6.095 2.299 4.787
Tl 8.029 2.299 0.954
Tl 7.844 0.000 6.914
Te 1.221 2.299 2.170
Te 3.839 0.000 5.425
Te 6.457 2.299 8.680
Se 0.705 0.000 8.414
Se 6.973 0.000 2.436
```

***

No. 13
The following is a PBE calculation of an optimized crystal structure of TlTe3Se, from the Alexandria database. Values from VASP.

V, Å³/cell: 173.1
Final energy, eV per atom: -2.8437
D(E_F), states/eV per atom: 0.747
E above lowest polymorph, eV/atom: 0.000
ΔE_f (raw), eV per atom: 0.2115

```
&SYSTEM
  ibrav = 0, nat = 5, ntyp = 3
/
ATOMIC_SPECIES
Tl 204.38 Tl.upf
Te 127.60 Te.upf
Se 78.96 Se.upf
CELL_PARAMETERS angstrom
5.573 0.000 0.000
0.000 5.573 0.000
0.000 0.000 5.573
ATOMIC_POSITIONS angstrom
Tl 0.000 0.000 0.000
Te 0.000 2.786 2.786
Te 2.786 0.000 2.786
Te 2.786 2.786 0.000
Se 2.786 2.786 2.786
```

***

No. 14
The following is a PBE calculation of an optimized crystal structure of Tl8TeSe6, from the Alexandria database. Values from VASP.

V, Å³/cell: 488.2
Final energy, eV per atom: -3.0889
D(E_F), states/eV per atom: 0.662
E above lowest polymorph, eV/atom: 0.037
ΔE_f (raw), eV per atom: -0.2237

```
&SYSTEM
  ibrav = 0, nat = 15, ntyp = 3
/
ATOMIC_SPECIES
Tl 204.38 Tl.upf
Te 127.60 Te.upf
Se 78.96 Se.upf
CELL_PARAMETERS angstrom
6.399 3.694 3.442
-6.399 3.694 3.442
0.000 -7.389 3.442
ATOMIC_POSITIONS angstrom
Tl -3.134 0.940 3.875
Tl 0.000 0.000 1.978
Tl 0.753 -3.184 3.875
Tl -2.381 -2.244 6.450
Tl 2.381 2.244 3.875
Tl -0.753 3.184 6.450
Tl 0.000 0.000 8.348
Tl 3.134 -0.940 6.450
Te 0.000 0.000 5.163
Se -4.890 -1.444 5.005
Se -1.194 -4.956 5.320
Se -3.695 3.513 5.320
Se 3.695 -3.513 5.005
Se 1.194 4.956 5.005
Se 4.890 1.444 5.320
```

***

No. 15
The following is a PBE calculation of an optimized crystal structure of TlTeSe2, from the Alexandria database. Values from VASP.

V, Å³/cell: 370.5
Final energy, eV per atom: -3.1783
D(E_F), states/eV per atom: 0.640
E above lowest polymorph, eV/atom: 0.088
ΔE_f (raw), eV per atom: -0.0591

```
&SYSTEM
  ibrav = 0, nat = 12, ntyp = 3
/
ATOMIC_SPECIES
Tl 204.38 Tl.upf
Te 127.60 Te.upf
Se 78.96 Se.upf
CELL_PARAMETERS angstrom
4.393 0.000 0.000
-2.197 3.805 0.000
0.000 0.000 22.165
ATOMIC_POSITIONS angstrom
Tl 0.000 0.000 0.000
Tl 0.000 2.536 14.777
Tl 2.197 1.268 7.388
Te 0.000 0.000 18.319
Te 0.000 2.536 10.931
Te 2.197 1.268 3.542
Se 0.000 0.000 4.939
Se 0.000 0.000 9.407
Se 0.000 2.536 2.019
Se 0.000 2.536 19.716
Se 2.197 1.268 12.328
Se 2.197 1.268 16.796
```

***

No. 16
The following is a PBE calculation of an optimized crystal structure of TlTeSe2, from the Alexandria database. Values from VASP.

V, Å³/cell: 100.8
Final energy, eV per atom: -2.9954
D(E_F), states/eV per atom: 0.598
E above lowest polymorph, eV/atom: 0.271
ΔE_f (raw), eV per atom: 0.1239

```
&SYSTEM
  ibrav = 0, nat = 4, ntyp = 3
/
ATOMIC_SPECIES
Tl 204.38 Tl.upf
Te 127.60 Te.upf
Se 78.96 Se.upf
CELL_PARAMETERS angstrom
5.244 0.000 0.000
0.000 5.244 0.000
0.000 0.000 3.667
ATOMIC_POSITIONS angstrom
Tl 0.000 0.000 0.000
Te 2.622 2.622 0.000
Se 0.000 2.622 1.833
Se 2.622 0.000 1.833
```

***

No. 17
The following is a PBE calculation of an optimized crystal structure of TlTeSe, from the Alexandria database. Values from VASP.

V, Å³/cell: 195.1
Final energy, eV per atom: -3.1661
D(E_F), states/eV per atom: 0.127
E above lowest polymorph, eV/atom: 0.000
ΔE_f (raw), eV per atom: -0.1686

```
&SYSTEM
  ibrav = 0, nat = 6, ntyp = 3
/
ATOMIC_SPECIES
Tl 204.38 Tl.upf
Te 127.60 Te.upf
Se 78.96 Se.upf
CELL_PARAMETERS angstrom
4.260 0.000 0.000
2.127 5.797 0.000
0.017 2.947 7.899
ATOMIC_POSITIONS angstrom
Tl 1.064 0.614 1.634
Tl 5.341 8.129 6.265
Te 1.072 4.372 3.950
Te 3.194 2.899 0.000
Se 3.203 5.940 5.068
Se 3.202 2.804 2.832
```

***

No. 18
The following is a PBE calculation of an optimized crystal structure of Tl3TeSe4, from the Alexandria database. Values from VASP.

V, Å³/cell: 505.3
Final energy, eV per atom: -3.1571
D(E_F), states/eV per atom: 0.683
E above lowest polymorph, eV/atom: 0.055
ΔE_f (raw), eV per atom: -0.1347

```
&SYSTEM
  ibrav = 0, nat = 16, ntyp = 3
/
ATOMIC_SPECIES
Tl 204.38 Tl.upf
Te 127.60 Te.upf
Se 78.96 Se.upf
CELL_PARAMETERS angstrom
7.965 0.000 0.000
0.000 7.965 0.000
0.000 0.000 7.965
ATOMIC_POSITIONS angstrom
Tl 0.000 0.000 3.983
Tl 0.000 3.983 0.000
Tl 0.000 3.983 3.983
Tl 3.983 0.000 0.000
Tl 3.983 0.000 3.983
Tl 3.983 3.983 0.000
Te 0.000 0.000 0.000
Te 3.983 3.983 3.983
Se 1.529 1.529 1.529
Se 1.529 6.436 6.436
Se 2.454 2.454 5.511
Se 2.454 5.511 2.454
Se 5.511 2.454 2.454
Se 5.511 5.511 5.511
Se 6.436 1.529 6.436
Se 6.436 6.436 1.529
```

***

No. 19
The following is a PBE calculation of an optimized crystal structure of TlTeSe2, from the Alexandria database. Values from VASP.

V, Å³/cell: 387.8
Final energy, eV per atom: -3.0936
D(E_F), states/eV per atom: 0.475
E above lowest polymorph, eV/atom: 0.173
ΔE_f (raw), eV per atom: 0.0257

```
&SYSTEM
  ibrav = 0, nat = 12, ntyp = 3
/
ATOMIC_SPECIES
Tl 204.38 Tl.upf
Te 127.60 Te.upf
Se 78.96 Se.upf
CELL_PARAMETERS angstrom
4.153 0.000 0.000
-2.076 3.596 0.000
0.000 0.000 25.968
ATOMIC_POSITIONS angstrom
Tl 0.000 0.000 0.000
Tl 0.000 2.398 17.312
Tl 2.076 1.199 8.656
Te 0.000 0.000 12.984
Te 0.000 2.398 4.328
Te 2.076 1.199 21.640
Se 0.000 0.000 10.306
Se 0.000 0.000 15.662
Se 0.000 2.398 1.650
Se 0.000 2.398 7.006
Se 2.076 1.199 18.962
Se 2.076 1.199 24.317
```

***

No. 20
The following is a PBE calculation of an optimized crystal structure of TlTeSe2, from the Alexandria database. Values from VASP.

V, Å³/cell: 337.4
Final energy, eV per atom: -3.0638
D(E_F), states/eV per atom: 0.571
E above lowest polymorph, eV/atom: 0.203
ΔE_f (raw), eV per atom: 0.0554

```
&SYSTEM
  ibrav = 0, nat = 12, ntyp = 3
/
ATOMIC_SPECIES
Tl 204.38 Tl.upf
Te 127.60 Te.upf
Se 78.96 Se.upf
CELL_PARAMETERS angstrom
4.067 0.000 0.000
-2.034 3.522 0.000
0.000 0.000 23.549
ATOMIC_POSITIONS angstrom
Tl 0.000 0.000 0.000
Tl 0.000 2.348 15.699
Tl 2.034 1.174 7.850
Te 0.000 0.000 18.194
Te 0.000 2.348 10.344
Te 2.034 1.174 2.495
Se 0.000 0.000 5.913
Se 0.000 0.000 12.096
Se 0.000 2.348 4.247
Se 0.000 2.348 21.612
Se 2.034 1.174 13.763
Se 2.034 1.174 19.946
```